The following is a PBE-GGA calculation of an optimized crystal structure of In3AsF6, from Alexandria.

a b c (Å): 7.012 7.017 7.011
angles (deg): 101.72 102.10 101.74
Fractional coordinates of all 10 atoms:
1 F 0.216 0.937 0.215
2 F 0.938 0.215 0.215
3 F 0.784 0.063 0.785
4 In 0.000 0.000 0.500
5 As 0.000 0.000 0.000
6 F 0.215 0.215 0.937
7 In 0.500 0.000 0.000
8 F 0.062 0.785 0.785
9 F 0.785 0.785 0.063
10 In 0.000 0.500 0.000

* volume: 319 Å³/cell
* DOS(E_F): 0.00 states/eV/cell
* ΔE_f (raw): -1.712 eV/atom
* DFT total energy: -4.121 eV per atom